w | {"formula": "CdB3Rh", "functional": "PBE", "state": "relaxed", "cell": [[4.1594, 0.0000, 0.0000], [0.0000, 4.1594, 0.0000], [0.0000, 0.0000, 4.1594]], "species": ["Cd", "B", "B", "B", "Rh"], "frac_coords": [[0.0000, 0.0000, 0.0000], [0.0000, 0.5000, 0.5000], [0.5000, 0.0000, 0.5000], [0.5000, 0.5000, 0.0000], [0.5000, 0.5000, 0.5000]]}

x | {"formula": "CdB3Rh", "functional": "PBE", "state": "relaxed", "cell": [[4.2048, 0.0000, 0.0000], [0.0000, 4.2048, 0.0000], [0.0000, 0.0000, 4.2048]], "species": ["Cd", "B", "B", "B", "Rh"], "frac_coords": [[0.0000, 0.0000, 0.0000], [0.0000, 0.0000, 0.5000], [0.0000, 0.5000, 0.0000], [0.5000, 0.0000, 0.0000], [0.5000, 0.5000, 0.5000]]}

Q: Which of them is the least stable? A: x.

w | {"formula": "Cd2BRh2", "functional": "PBE", "state": "relaxed", "cell": [[5.7802, 0.0000, 0.0000], [0.0000, 5.7802, 0.0000], [0.0000, 0.0000, 4.6234]], "species": ["Cd", "Cd", "Cd", "Cd", "B", "B", "Rh", "Rh", "Rh", "Rh"], "frac_coords": [[0.1665, 0.3335, 0.0000], [0.3335, 0.8335, 0.0000], [0.6665, 0.1665, 0.0000], [0.8335, 0.6665, 0.0000], [0.0000, 0.0000, 0.5000], [0.5000, 0.5000, 0.5000], [0.1638, 0.6638, 0.5000], [0.3362, 0.1638, 0.5000], [0.6638, 0.8362, 0.5000], [0.8362, 0.3362, 0.5000]]}

x | {"formula": "Cd2BRh2", "functional": "PBE", "state": "relaxed", "cell": [[1.5534, 0.8968, 9.3957], [-1.5534, 0.8968, 9.3957], [0.0000, -1.7937, 9.3957]], "species": ["Cd", "Cd", "B", "Rh", "Rh"], "frac_coords": [[0.1197, 0.1197, 0.1197], [0.8803, 0.8803, 0.8803], [0.0000, 0.0000, 0.0000], [0.3737, 0.3737, 0.3737], [0.6263, 0.6263, 0.6263]]}

Q: Which of them is the least stable? A: w.